Na2NbPtPb (GGA-PBE, relaxed); crystal system = tetragonal; space group = No. 123; energy relative to the elements = 912 meV/atom; spin magnetization = 2.60 μB per formula unit
1.0
-3.828 -1.893 3.656
-1.318 -3.433 -3.157
3.823 -3.488 2.196
Pt Pb Na Nb
1 1 2 1
direct
0.000 0.500 0.000
0.500 0.500 0.500
0.500 0.000 0.000
0.000 0.000 0.500
0.000 0.000 0.000